Entry from Alexandria via LeMat-Bulk: a relaxed Cs4Bi2Sb2Au crystal (PBE).

It has space group C2/m (No. 12), with a = 11.450 Å, b = 11.058 Å, c = 6.754 Å, α = 90.00°, β = 103.29° and γ = 90.00°. Symmetry generates all atoms from Cs at (0.127, 0.205, 0.262), Bi at (0.176, 0.000, 0.795), Sb at (0.097, 0.500, 0.903) and Au at (0.000, 0.500, 0.500).

As for the formation energy from raw total energies: -0.2846 eV per atom. Its size of the total moment is 0.000 μB per formula unit. The calculation puts the density of states at the Fermi level at 0.408 states/eV per atom. The value obtained for the energy is -2.81 eV/atom.

---

Entry from Alexandria via LeMat-Bulk: a relaxed Ba8InPt2Au crystal (PBE).

It has space group P2/m (No. 10), with a = 7.665 Å, b = 9.672 Å, c = 7.962 Å, α = 90.00°, β = 90.36° and γ = 90.00°. Symmetry generates all atoms from Ba at (0.219, 0.000, 0.347), Ba at (0.224, 0.500, 0.334), Ba at (0.253, 0.264, 0.816), In at (0.500, 0.000, 0.000), Pt at (0.000, 0.253, 0.500) and Au at (0.500, 0.500, 0.000).

Its size of the total moment is 0.000 μB per formula unit. The calculation puts the density of states at the Fermi level at 0.793 states/eV per atom. The value obtained for the energy is -3.27 eV/atom. For the calculated formation energy, the calculation gives -5.75 eV/f.u.

---

Entry from Alexandria via LeMat-Bulk: a relaxed CaPaRh3 crystal (PBE).

It has space group Cm (No. 8), with a = 10.033 Å, b = 5.735 Å, c = 8.241 Å, α = 90.00°, β = 120.33° and γ = 90.00°. Symmetry generates all atoms from Ca at (0.000, 0.000, 0.000), Ca at (0.022, 0.500, 0.657), Pa at (0.203, 0.000, 0.674), Pa at (0.441, 0.000, 0.255), Rh at (0.208, 0.256, 0.409), Rh at (0.242, 0.253, 0.982), Rh at (0.442, 0.500, 0.384) and Rh at (0.495, 0.000, 0.976).

Its size of the total moment is 0.000 μB per formula unit. The calculation puts the density of states at the Fermi level at 0.570 states/eV per atom. The value obtained for the energy is -7.21 eV/atom. For the calculated formation energy, the calculation gives -2.47 eV/f.u.

---

Entry from Alexandria via LeMat-Bulk: a relaxed Nd4Bi2Ir crystal (PBE).

It has space group P2_1/m (No. 11), with a = 7.184 Å, b = 6.852 Å, c = 9.041 Å, α = 90.00°, β = 103.60° and γ = 90.00°. Symmetry generates all atoms from Nd at (0.160, 0.011, 0.295), Nd at (0.298, 0.250, 0.916), Nd at (0.307, 0.750, 0.658), Bi at (0.184, 0.750, 0.979), Bi at (0.440, 0.250, 0.605) and Ir at (0.043, 0.250, 0.575).

Its size of the total moment is 0.000 μB per formula unit. The calculation puts the density of states at the Fermi level at 0.687 states/eV per atom. The value obtained for the energy is -5.75 eV/atom. For the calculated formation energy, the calculation gives -4.56 eV/f.u.

---

Entry from Alexandria via LeMat-Bulk: a relaxed Sr2InSnI crystal (PBE).

It has space group P4/mmm (No. 123), with a = 6.460 Å, b = 6.460 Å, c = 5.450 Å, α = 90.00°, β = 90.00° and γ = 90.00°. Symmetry generates all atoms from Sr at (0.000, 0.500, 0.000), In at (0.000, 0.000, 0.000), Sn at (0.000, 0.000, 0.500) and I at (0.500, 0.500, 0.500).

As for the formation energy from raw total energies: -0.3436 eV per atom. Its size of the total moment is 0.000 μB per formula unit. The calculation puts the density of states at the Fermi level at 0.679 states/eV per atom. The value obtained for the energy is -2.67 eV/atom.

---

Entry from Alexandria via LeMat-Bulk: a relaxed Nb3Mo3W crystal (PBE).

It has space group Cmmm (No. 65), with a = 6.273 Å, b = 8.990 Å, c = 8.882 Å, α = 90.00°, β = 90.00° and γ = 90.00°. Symmetry generates all atoms from Nb at (0.000, 0.000, 0.207), Nb at (0.000, 0.246, 0.500), Nb at (0.000, 0.306, 0.000), Mo at (0.000, 0.500, 0.257), Mo at (0.250, 0.250, 0.243) and W at (0.247, 0.000, 0.500).

Its size of the total moment is 0.000 μB per formula unit. The calculation puts the density of states at the Fermi level at 0.763 states/eV per atom. The value obtained for the energy is -10.59 eV/atom. For the calculated formation energy, the calculation gives 1.55 eV/f.u.

---

Among the records above, which one has the lowest energy?
Nb3Mo3W